The following is a PBE calculation of a geometry-optimized HgSbTe2C structure, from Alexandria via LeMat-Bulk.

Calculated values
Energy above the most stable polymorph in this dataset (eV per atom): 1.0823
Symmetry: P4/mmm

Lattice parameters (Å, degrees): 5.680 5.680 5.530 90.00 90.00 90.00
Atoms (fractional coordinates):
Sb  0.000  0.000  0.500
C  0.500  0.500  0.500
Te  0.000  0.500  0.000
Te  0.500  0.000  0.000
Hg  0.000  0.000  0.000



The following is a PBE calculation of a geometry-optimized InSb2Ru structure, from Alexandria via LeMat-Bulk.

Calculated values
Symmetry: I-4m2

Lattice parameters (Å, degrees): 5.343 5.343 5.343 130.15 130.15 73.17
Atoms (fractional coordinates):
In  0.500  0.500  0.000
Ru  0.750  0.250  0.500
Sb  0.000  0.000  0.000
Sb  0.250  0.750  0.500



The records above yield uncorrected formation energy values of 10.271; 1.772 eV per formula unit, respectively.
The records above yield calculated volume values of 178.4; 87.0 Å³ per cell, respectively.